# FeTcOs2

A relaxed FeTcOs2 crystal (GGA-PBE, the Alexandria database).

Properties
raw total energy = -40.65 eV/cell
V = 55 Å³ per cell
calculated formation energy = 0.16 eV/atom
SG = R3m, No. 160
relative energy among the computed polymorphs = 4.7 kJ per mole of atoms
D(E_F) = 4.04 states/eV per cell

a = 8.8148 Å, b = 8.8148 Å, c = 8.8148 Å
α = 17.66°, β = 17.66°, γ = 17.66°
Closest atoms and distances in Å follow each position.
Sites, in units of the cell vectors:
Tc 0.4974 0.4974 0.4974  3 Fe 2.63, 6 Tc 2.71, 3 Os 2.73
Fe 0.7495 0.7495 0.7495  3 Os 2.60, 3 Tc 2.63, 6 Fe 2.71
Os 0.0031 0.0031 0.0031  3 Fe 2.60, 9 Os 2.71-2.74
Os 0.2500 0.2500 0.2500  9 Os 2.71-2.74, 3 Tc 2.73

---

# FeTcOs2

A relaxed FeTcOs2 crystal (GGA-PBE, the Alexandria database).

Properties
raw total energy = -39.61 eV/cell
V = 56 Å³ per cell
calculated formation energy = 0.42 eV/atom
SG = P4/mmm, No. 123
relative energy among the computed polymorphs = 29.8 kJ per mole of atoms
D(E_F) = 4.60 states/eV per cell

a = 4.4300 Å, b = 4.4300 Å, c = 2.8631 Å
α = 90.00°, β = 90.00°, γ = 90.00°
Closest atoms and distances in Å follow each position.
Sites, in units of the cell vectors:
Tc 0.5000 0.0000 0.5000  8 Os 2.64, 2 Tc 2.86
Os 0.5000 0.5000 0.0000  4 Fe 2.64, 4 Tc 2.64, 2 Os 2.86
Os 0.0000 0.0000 0.0000  4 Fe 2.64, 4 Tc 2.64, 2 Os 2.86
Fe 0.0000 0.5000 0.5000  8 Os 2.64, 2 Fe 2.86

---

# Fe2TcOs2

A relaxed Fe2TcOs2 crystal (GGA-PBE, the Alexandria database).

Properties
raw total energy = -46.62 eV/cell
V = 70 Å³ per cell
calculated formation energy = 0.63 eV/atom
SG = I4/mmm, No. 139
relative energy among the computed polymorphs = 42.6 kJ per mole of atoms
D(E_F) = 4.58 states/eV per cell

a = 3.7460 Å, b = 3.7460 Å, c = 5.6778 Å
α = 70.74°, β = 70.74°, γ = 90.00°
Closest atoms and distances in Å follow each position.
Sites, in units of the cell vectors:
Fe 0.6007 0.6007 0.7987  1 Fe 2.02
Os 0.2500 0.7500 0.5000  4 Fe 2.40, 4 Os 2.65
Fe 0.3993 0.3993 0.2013  1 Fe 2.02
Tc 0.0000 0.0000 0.0000  8 Fe 2.84, 8 Os 3.13
Os 0.7500 0.2500 0.5000  4 Fe 2.40, 4 Os 2.65

---

# Fe2TcOs

A relaxed Fe2TcOs crystal (GGA-PBE, the Alexandria database).

Properties
raw total energy = -38.02 eV/cell
V = 50 Å³ per cell
calculated formation energy = 0.13 eV/atom
SG = I4/mmm, No. 139
D(E_F) = 5.59 states/eV per cell

a = 4.4700 Å, b = 4.4700 Å, c = 4.4700 Å
α = 130.92°, β = 130.92°, γ = 71.94°
Closest atoms and distances in Å follow each position.
Sites, in units of the cell vectors:
Fe 0.0000 0.0000 0.0000  4 Tc 2.59, 4 Os 2.59, 4 Fe 2.63
Os 0.7500 0.2500 0.5000  8 Fe 2.59, 4 Tc 2.63
Tc 0.2500 0.7500 0.5000  8 Fe 2.59, 4 Os 2.63
Fe 0.5000 0.5000 0.0000  4 Tc 2.59, 4 Os 2.59, 4 Fe 2.63

---

# FeTcOs2

A relaxed FeTcOs2 crystal (GGA-PBE, the Alexandria database).

Properties
raw total energy = -72.16 eV/cell
V = 156 Å³ per cell
calculated formation energy = 1.30 eV/atom
SG = I-42d, No. 122
relative energy among the computed polymorphs = 115.0 kJ per mole of atoms
D(E_F) = 8.13 states/eV per cell

a = 5.2843 Å, b = 5.2843 Å, c = 6.7290 Å
α = 66.88°, β = 66.88°, γ = 90.00°
Closest atoms and distances in Å follow each position.
Sites, in units of the cell vectors:
Os 0.5982 0.1250 0.2500  2 Fe 2.26, 2 Tc 2.42
Tc 0.7500 0.2500 0.5000  4 Os 2.42
Fe 0.2500 0.7500 0.5000  4 Os 2.26
Os 0.3750 0.4018 0.7500  2 Fe 2.26, 2 Tc 2.42
Fe 0.5000 0.5000 0.0000  4 Os 2.26
Os 0.1518 0.6250 0.2500  2 Fe 2.26, 2 Tc 2.42
Os 0.8750 0.8482 0.7500  2 Fe 2.26, 2 Tc 2.42
Tc 0.0000 0.0000 0.0000  4 Os 2.42

---

# Fe2TcOs

A relaxed Fe2TcOs crystal (GGA-PBE, the Alexandria database).

Properties
raw total energy = -38.02 eV/cell
V = 50 Å³ per cell
calculated formation energy = 0.13 eV/atom
SG = Pmmm, No. 47
D(E_F) = 5.23 states/eV per cell

a = 2.6213 Å, b = 3.6168 Å, c = 5.2598 Å
α = 90.00°, β = 90.00°, γ = 90.00°
Closest atoms and distances in Å follow each position.
Sites, in units of the cell vectors:
Tc 0.5000 0.5000 0.7500  8 Fe 2.60, 2 Tc 2.62, 2 Os 2.63
Fe 0.0000 0.0000 0.0042  4 Os 2.58, 4 Fe 2.59-2.67, 4 Tc 2.60
Fe 0.0000 0.0000 0.4958  4 Os 2.58, 4 Fe 2.59-2.67, 4 Tc 2.60
Os 0.5000 0.5000 0.2500  8 Fe 2.58, 2 Os 2.62, 2 Tc 2.63

---

# Fe2TcOs

A relaxed Fe2TcOs crystal (GGA-PBE, the Alexandria database).

Properties
raw total energy = -37.54 eV/cell
V = 54 Å³ per cell
calculated formation energy = 0.25 eV/atom
SG = Cmmm, No. 65
D(E_F) = 4.07 states/eV per cell

a = 2.6041 Å, b = 2.6041 Å, c = 8.5194 Å
α = 90.00°, β = 90.00°, γ = 111.53°
Closest atoms and distances in Å follow each position.
Sites, in units of the cell vectors:
Fe 0.0000 0.0000 0.5002  2 Tc 2.58, 2 Os 2.59, 4 Fe 2.60
Os 0.5000 0.5000 0.2500  4 Fe 2.59, 4 Os 2.60
Tc 0.5000 0.5000 0.7500  4 Fe 2.58, 4 Tc 2.60
Fe 0.0000 0.0000 0.9998  2 Tc 2.58, 2 Os 2.59, 4 Fe 2.60

---

# FeTcOs2

A relaxed FeTcOs2 crystal (GGA-PBE, the Alexandria database).

Properties
raw total energy = -40.82 eV/cell
V = 55 Å³ per cell
calculated formation energy = 0.12 eV/atom
SG = C2/m, No. 12
relative energy among the computed polymorphs = 0.7 kJ per mole of atoms
D(E_F) = 3.96 states/eV per cell

a = 4.6370 Å, b = 4.6370 Å, c = 4.6722 Å
α = 80.55°, β = 80.55°, γ = 33.85°
Closest atoms and distances in Å follow each position.
Sites, in units of the cell vectors:
Os 0.0002 0.0002 0.9922  6 Os 2.64-2.76, 3 Fe 2.66-2.67, 3 Tc 2.70
Fe 0.7500 0.7500 0.7500  6 Os 2.66-2.67, 4 Tc 2.70, 2 Fe 2.70
Os 0.4998 0.4998 0.5078  6 Os 2.64-2.76, 3 Fe 2.66-2.67, 3 Tc 2.70
Tc 0.2500 0.2500 0.2500  6 Os 2.70, 4 Fe 2.70, 2 Tc 2.70

---

# Fe2TcOs

A relaxed Fe2TcOs crystal (GGA-PBE, the Alexandria database).

Properties
raw total energy = -38.12 eV/cell
V = 52 Å³ per cell
calculated formation energy = 0.10 eV/atom
SG = I-4m2, No. 119
D(E_F) = 4.22 states/eV per cell

a = 4.5650 Å, b = 4.5650 Å, c = 4.5650 Å
α = 131.94°, β = 131.94°, γ = 70.32°
Closest atoms and distances in Å follow each position.
Sites, in units of the cell vectors:
Fe 0.0000 0.0000 0.0000  4 Os 2.63, 4 Fe 2.63, 4 Tc 2.63
Tc 0.7500 0.2500 0.5000  8 Fe 2.63, 4 Os 2.63
Os 0.5000 0.5000 0.0000  8 Fe 2.63, 4 Tc 2.63
Fe 0.2500 0.7500 0.5000  4 Tc 2.63, 4 Fe 2.63, 4 Os 2.63

---

# FeTcOs4

A relaxed FeTcOs4 crystal (GGA-PBE, the Alexandria database).

Properties
raw total energy = -59.60 eV/cell
V = 93 Å³ per cell
calculated formation energy = 0.69 eV/atom
SG = F-43m, No. 216
D(E_F) = 7.78 states/eV per cell

a = 5.0836 Å, b = 5.0836 Å, c = 5.0836 Å
α = 60.00°, β = 60.00°, γ = 60.00°
Closest atoms and distances in Å follow each position.
Sites, in units of the cell vectors:
Os 0.3749 0.8752 0.3749  6 Os 2.54
Os 0.3749 0.3749 0.8752  6 Os 2.54
Fe 0.0000 0.0000 0.0000  12 Os 2.98, 4 Tc 3.11
Os 0.3749 0.3749 0.3749  6 Os 2.54
Tc 0.7500 0.7500 0.7500  12 Os 2.98, 4 Fe 3.11
Os 0.8752 0.3749 0.3749  6 Os 2.54

---

# FeTcOs2

A relaxed FeTcOs2 crystal (GGA-PBE, the Alexandria database).

Properties
raw total energy = -39.69 eV/cell
V = 56 Å³ per cell
calculated formation energy = 0.40 eV/atom
SG = Fm-3m, No. 225
relative energy among the computed polymorphs = 28.0 kJ per mole of atoms
D(E_F) = 4.12 states/eV per cell

a = 4.3035 Å, b = 4.3035 Å, c = 4.3035 Å
α = 60.00°, β = 60.00°, γ = 60.00°
Closest atoms and distances in Å follow each position.
Sites, in units of the cell vectors:
Os 0.2500 0.2500 0.2500  4 Fe 2.64, 4 Tc 2.64
Tc 0.5000 0.5000 0.5000  8 Os 2.64
Fe 0.0000 0.0000 0.0000  8 Os 2.64
Os 0.7500 0.7500 0.7500  4 Fe 2.64, 4 Tc 2.64

---

# VFeTcOs

A relaxed VFeTcOs crystal (GGA-PBE, the Alexandria database).

Properties
raw total energy = -39.51 eV/cell
V = 54 Å³ per cell
calculated formation energy = -0.08 eV/atom
SG = F-43m, No. 216
D(E_F) = 2.53 states/eV per cell

a = 4.2470 Å, b = 4.2470 Å, c = 4.2470 Å
α = 60.00°, β = 60.00°, γ = 60.00°
Closest atoms and distances in Å follow each position.
Sites, in units of the cell vectors:
Os 0.7500 0.7500 0.7500  4 Fe 2.60, 4 V 2.60
Tc 0.2500 0.2500 0.2500  4 Fe 2.60, 4 V 2.60
V 0.5000 0.5000 0.5000  4 Tc 2.60, 4 Os 2.60
Fe 0.0000 0.0000 0.0000  4 Os 2.60, 4 Tc 2.60